# Rb2ReSbI6

Crystalline Rb2ReSbI6 at its relaxed geometry (GGA-PBE, Alexandria).

Calculated values
- Raw formation energy: -8.18 kcal/mol of atoms
- Calculated density: 4.76 g/cm³
- Space group: I4/mmm

Geometry as extended XYZ:
```
10
Lattice="8.499 0.000 0.000 0.000 8.499 0.000 4.249 4.249 5.994" Properties=species:S:1:pos:R:3 pbc="T T T"
I 6.503 1.996 0.000
I 6.503 6.503 0.000
I 1.996 1.996 0.000
I 4.249 4.249 3.177
I 8.499 8.499 2.817
I 1.996 6.503 0.000
Re 0.000 0.000 0.000
Sb 4.249 4.249 0.000
Rb 8.499 4.249 2.997
Rb 4.249 8.499 2.997
```

# P2RuW

Crystalline P2RuW at its relaxed geometry (GGA-PBE, Alexandria).

Calculated values
- Formation energy: 0.245 eV per atom
- Calculated density: 9.99 g/cm³
- Space group: Cmmm

Geometry as extended XYZ:
```
4
Lattice="-0.453 -1.254 2.612 -0.193 -1.739 -2.354 7.335 -1.536 0.534" Properties=species:S:1:pos:R:3 pbc="T T T"
P 3.631 -0.760 0.264
P 0.037 -0.008 0.003
Ru 1.511 -1.880 0.263
W 5.179 -2.648 0.530
```